# PBE-GGA Sm3Dy2Y6, optimized geometry
data_Sm3Dy2Y6
_symmetry_space_group_name_H-M 'P 1'
_symmetry_Int_Tables_number 1
_symmetry_space_group_name_Hall 'P 1'
_cell_length_a 32.107
_cell_length_b 32.107
_cell_length_c 32.107
_cell_angle_alpha 6.40
_cell_angle_beta 6.40
_cell_angle_gamma 6.40
loop_
_atom_site_label
_atom_site_fract_x
_atom_site_fract_y
_atom_site_fract_z
Sm1 0.000 0.000 0.000
Sm2 0.272 0.272 0.272
Sm3 0.728 0.728 0.728
Dy1 0.455 0.455 0.455
Dy2 0.545 0.545 0.545
Y1 0.091 0.091 0.091
Y2 0.182 0.182 0.182
Y3 0.364 0.364 0.364
Y4 0.636 0.636 0.636
Y5 0.818 0.818 0.818
Y6 0.909 0.909 0.909
# Space group   R-3m, No. 166
# ΔE_f   0.0185 eV/atom
# E_tot   -5.6312 eV per atom